Computed, not measured: an optimized crystal structure of LaZn2Pt at the PBE level of DFT.

## Properties
Space group: I-4m2
Formation energy, eV per formula unit: -2.0
DOS(E_F), states/eV per cell: 2.6

Unit cell a=4.8680 b=4.8680 c=4.8680 alpha=119.60 beta=119.60 gamma=90.69
Atoms (fractional coordinates):
Pt: 0.7500 0.2500 0.5000
Zn: 0.0000 0.0000 0.0000
La: 0.5000 0.5000 0.0000
Zn: 0.2500 0.7500 0.5000